Te2MoBr | PBE | relaxed

POSCAR file:
```
Te2MoBr
1.0
4.409 0.000 0.000
0.000 4.059 0.000
-1.849 0.000 6.479
Te Mo Br
2 1 1
Direct
0.000 0.000 0.000 Te
0.500 0.500 0.000 Te
0.000 0.500 0.500 Mo
0.500 0.000 0.500 Br
```

Summary:
The calculated volume is 28.98 Å³/atom. For the calculated total energy, the calculation gives -15.94 eV per cell. Its energy relative to the lowest polymorph listed for this composition is 797 meV/atom. As for the formation energy without anion corrections: 2.9 eV/f.u.

=====

GdThInHg | PBE | relaxed

POSCAR file:
```
GdThInHg
1.0
7.644 0.000 0.000
0.000 7.644 0.000
0.000 0.000 7.644
Gd Th In Hg
4 4 4 4
Direct
0.000 0.000 0.000 Gd
0.000 0.500 0.500 Gd
0.500 0.000 0.500 Gd
0.500 0.500 0.000 Gd
0.000 0.000 0.500 Th
0.000 0.500 0.000 Th
0.500 0.000 0.000 Th
0.500 0.500 0.500 Th
0.250 0.250 0.750 In
0.250 0.750 0.250 In
0.750 0.250 0.250 In
0.750 0.750 0.750 In
0.250 0.250 0.250 Hg
0.250 0.750 0.750 Hg
0.750 0.250 0.750 Hg
0.750 0.750 0.250 Hg
```

Summary:
For the energy relative to the elements, the calculation gives -332 meV/atom. The calculated volume is 27.92 Å³/atom. For the calculated total energy, the calculation gives -103.47 eV per cell.

=====

HoAlCu11 | PBE | relaxed

POSCAR file:
```
HoAlCu11
1.0
2.423 -5.958 0.000
2.423 5.958 0.000
-2.376 0.000 6.091
Ho Al Cu
1 1 11
Direct
0.000 0.000 0.000 Ho
0.500 0.500 0.500 Al
0.000 0.000 0.500 Cu
0.000 0.500 0.000 Cu
0.007 0.651 0.648 Cu
0.282 0.503 0.781 Cu
0.349 0.993 0.352 Cu
0.497 0.718 0.219 Cu
0.500 0.000 0.000 Cu
0.503 0.282 0.781 Cu
0.651 0.007 0.648 Cu
0.718 0.497 0.219 Cu
0.993 0.349 0.352 Cu
```

Summary:
For the energy relative to the elements, the calculation gives -140 meV/atom. The calculated volume is 13.53 Å³/atom. For the calculated total energy, the calculation gives -55.20 eV per cell.

=====

LaSb2Os | PBE | relaxed

POSCAR file:
```
LaSb2Os
1.0
3.395 0.000 0.000
0.000 3.395 0.000
0.000 0.000 7.913
La Sb Os
1 2 1
Direct
0.000 0.000 0.000 La
0.500 0.500 0.299 Sb
0.500 0.500 0.701 Sb
0.000 0.000 0.500 Os
```

Summary:
The calculated volume is 22.80 Å³/atom. For the calculated total energy, the calculation gives -24.47 eV per cell. As for the formation energy without anion corrections: -0.1 eV/f.u.

=====

What did the fourth record say?
LaSb2Os | PBE | relaxed

POSCAR file:
```
LaSb2Os
1.0
3.395 0.000 0.000
0.000 3.395 0.000
0.000 0.000 7.913
La Sb Os
1 2 1
Direct
0.000 0.000 0.000 La
0.500 0.500 0.299 Sb
0.500 0.500 0.701 Sb
0.000 0.000 0.500 Os
```

Summary:
The calculated volume is 22.80 Å³/atom. For the calculated total energy, the calculation gives -24.47 eV per cell. As for the formation energy without anion corrections: -0.1 eV/f.u.

=====

Q: The highest calculated total energy belongs to which entry?
A: Te2MoBr

=====

What did the second record say?
GdThInHg | PBE | relaxed

POSCAR file:
```
GdThInHg
1.0
7.644 0.000 0.000
0.000 7.644 0.000
0.000 0.000 7.644
Gd Th In Hg
4 4 4 4
Direct
0.000 0.000 0.000 Gd
0.000 0.500 0.500 Gd
0.500 0.000 0.500 Gd
0.500 0.500 0.000 Gd
0.000 0.000 0.500 Th
0.000 0.500 0.000 Th
0.500 0.000 0.000 Th
0.500 0.500 0.500 Th
0.250 0.250 0.750 In
0.250 0.750 0.250 In
0.750 0.250 0.250 In
0.750 0.750 0.750 In
0.250 0.250 0.250 Hg
0.250 0.750 0.750 Hg
0.750 0.250 0.750 Hg
0.750 0.750 0.250 Hg
```

Summary:
For the energy relative to the elements, the calculation gives -332 meV/atom. The calculated volume is 27.92 Å³/atom. For the calculated total energy, the calculation gives -103.47 eV per cell.